Entry 1:
Entry from Alexandria: a geometry-optimized BaSrDy structure (PBE).

POSCAR file:
```
BaSrDy
1.0
7.407 2.104 1.372
5.523 5.366 1.372
9.517 5.498 12.213
Dy Sr Ba
2 2 2
Cartesian
1.798 1.039 2.042
10.865 6.277 3.779
12.168 7.029 7.259
10.013 5.785 10.775
8.862 5.120 6.774
13.318 7.694 11.261
```

Values from the calculation:
- raw total energy (eV/atom) = -2.405
- formation energy (eV per atom) = 0.3304
- Fermi-level density of states (states/eV per atom) = 1.4409
- space group = No. 12

=====

Entry 2:
Entry from Alexandria: a geometry-optimized BaTbDy2 structure (PBE).

POSCAR file:
```
BaTbDy2
1.0
-3.526 0.049 0.753
-2.315 -1.811 -2.089
-0.506 -10.984 6.974
Tb Ba Dy
1 1 2
Cartesian
-3.174 -6.373 2.819
0.000 0.000 0.000
-0.911 -8.062 4.888
-5.436 -4.684 0.750
```

Values from the calculation:
- raw total energy (eV/atom) = -3.714
- formation energy (eV per atom) = 0.2257
- Fermi-level density of states (states/eV per atom) = 1.3713
- space group = No. 166

=====

Copy entry 2 word for word.
Entry from Alexandria: a geometry-optimized BaTbDy2 structure (PBE).

POSCAR file:
```
BaTbDy2
1.0
-3.526 0.049 0.753
-2.315 -1.811 -2.089
-0.506 -10.984 6.974
Tb Ba Dy
1 1 2
Cartesian
-3.174 -6.373 2.819
0.000 0.000 0.000
-0.911 -8.062 4.888
-5.436 -4.684 0.750
```

Values from the calculation:
- raw total energy (eV/atom) = -3.714
- formation energy (eV per atom) = 0.2257
- Fermi-level density of states (states/eV per atom) = 1.3713
- space group = No. 166

=====

Please write out number 2 again, unchanged.
Entry from Alexandria: a geometry-optimized BaTbDy2 structure (PBE).

POSCAR file:
```
BaTbDy2
1.0
-3.526 0.049 0.753
-2.315 -1.811 -2.089
-0.506 -10.984 6.974
Tb Ba Dy
1 1 2
Cartesian
-3.174 -6.373 2.819
0.000 0.000 0.000
-0.911 -8.062 4.888
-5.436 -4.684 0.750
```

Values from the calculation:
- raw total energy (eV/atom) = -3.714
- formation energy (eV per atom) = 0.2257
- Fermi-level density of states (states/eV per atom) = 1.3713
- space group = No. 166

=====

Q: What is the formation energy in the first record?
A: 0.3304 eV per atom